VASP calculation (PBE) on a relaxed structure of InAg4Au6.

Cell: 6.600 6.600 10.963 Å, 90.00 90.00 90.00°
Space group I-42m (No. 121)
Unique sites:
In  0.000  0.000  0.000 (multiplicity 2)
Ag  0.154  0.154  0.390 (multiplicity 8)
Au  0.000  0.500  0.000 (multiplicity 4)
Au  0.242  0.242  0.152 (multiplicity 8)

Results
ΔE_f   173 meV/atom
Total energy   -2.901 eV per atom

VASP calculation (PBE) on a relaxed structure of InAg5Au.

Cell: 10.199 5.480 10.062 Å, 90.00 100.91 90.00°
Space group C2/c (No. 15)
Unique sites:
In  0.000  0.223  0.250 (multiplicity 4)
Ag  0.000  0.286  0.750 (multiplicity 4)
Ag  0.145  0.470  0.035 (multiplicity 8)
Ag  0.237  0.056  0.688 (multiplicity 8)
Au  0.000  0.000  0.000 (multiplicity 4)

Results
ΔE_f   55 meV/atom
Total energy   -2.841 eV per atom

VASP calculation (PBE) on a relaxed structure of InAg2Au8.

Cell: 8.065 13.016 5.368 Å, 90.00 130.12 90.00°
Space group C2/m (No. 12)
Unique sites:
In  0.000  0.000  0.000 (multiplicity 2)
Ag  0.000  0.307  0.500 (multiplicity 4)
Au  0.000  0.221  0.000 (multiplicity 4)
Au  0.091  0.500  0.827 (multiplicity 4)
Au  0.209  0.114  0.601 (multiplicity 8)

Results
ΔE_f   7 meV/atom
Total energy   -3.144 eV per atom
ΔE to the lowest computed polymorph   0.044 eV per atom